1.
ErTm2Pa PBE-GGA optimized geometry; DFT total energy = -21.95 eV/f.u.; ΔH_f (0 K) = 264 meV per atom; volume = 28.4 Å³ per atom
1.0
-2.865 -0.242 1.617
-2.131 -2.398 -0.770
3.537 -8.113 8.418
Pa Tm Er
1 2 1
Direct
0.000 0.000 0.000
0.088 0.088 0.736
0.912 0.912 0.264
0.500 0.500 0.500

2.
BaOsPd2W PBE-GGA optimized geometry; DFT total energy = -20.76 eV/f.u.; ΔH_f (0 K) = 3147 meV per atom; volume = 25.8 Å³ per atom
1.0
4.929 0.000 0.000
0.000 4.929 0.000
0.000 0.000 5.302
Pd Os Ba W
2 1 1 1
Direct
0.000 0.500 0.000
0.500 0.000 0.000
0.500 0.500 0.500
0.000 0.000 0.000
0.000 0.000 0.500

3.
GeRuRh PBE-GGA optimized geometry; DFT total energy = -21.88 eV/f.u.; ΔH_f (0 K) = -212 meV per atom; volume = 14.5 Å³ per atom
1.0
-3.182 4.828 -2.620
-2.290 -1.709 -0.369
-2.539 1.430 9.134
Ge Ru Rh
4 4 4
Direct
0.436 0.000 0.303
0.436 0.500 0.803
0.832 0.000 0.035
0.832 0.500 0.535
0.197 0.000 0.951
0.197 0.500 0.451
0.526 0.000 0.586
0.526 0.500 0.086
0.826 0.000 0.311
0.826 0.500 0.811
0.133 0.000 0.676
0.133 0.500 0.176

4.
Ti2CrCl PBE-GGA optimized geometry; raw formation energy = 446.5 meV per atom; DFT total energy = -25.47 eV/f.u.; volume = 15.0 Å³ per atom
1.0
0.000 3.108 3.108
3.108 0.000 3.108
3.108 3.108 0.000
Cr Cl Ti
1 1 2
Direct
0.500 0.500 0.500
0.000 0.000 0.000
0.250 0.250 0.250
0.750 0.750 0.750

5.
CaOsBr2 PBE-GGA optimized geometry; raw formation energy = 146.4 meV per atom; DFT total energy = -15.99 eV/f.u.; volume = 25.0 Å³ per atom
1.0
-3.039 0.272 -3.898
-2.188 -4.210 1.412
-7.949 2.299 3.215
Ca Os Br
2 2 4
Direct
0.500 0.500 0.000
0.250 0.750 0.500
0.000 0.000 0.000
0.750 0.250 0.500
0.677 0.125 0.250
0.073 0.625 0.250
0.375 0.323 0.750
0.875 0.927 0.750